(1)
La6Co13Ge: relaxed, PBE.

```
40
Lattice="-4.006 4.006 11.340 4.006 -4.006 11.340 4.006 4.006 -11.340" Properties=species:S:1:pos:R:3 pbc="T T T"
Co 2.587 1.419 1.300
Co 1.419 2.587 12.640
Co -0.908 3.098 9.289
Co 1.708 0.522 11.340
Co 3.485 2.299 11.340
Co 1.419 2.587 10.041
Co 2.587 1.419 -1.300
Co -0.908 3.098 13.391
Co 2.299 3.485 0.000
Co 4.006 0.000 0.000
Co 3.098 0.908 9.289
Co -2.299 3.485 11.340
Co 0.908 3.098 2.051
Co 4.915 0.908 2.051
Co 6.305 0.522 0.000
Co 0.000 4.006 0.000
Co 1.419 5.426 -1.300
Co 1.419 5.426 1.300
Co 0.522 1.708 0.000
Co 4.915 0.908 -2.051
Co 0.908 3.098 -2.051
Co 3.098 0.908 13.391
Co 2.587 -1.419 12.640
Co 4.528 2.299 0.000
Co 2.587 -1.419 10.041
Co -0.522 1.708 11.340
La 1.326 5.332 4.184
La 2.681 -1.326 7.156
La 2.681 1.326 4.184
La -1.326 2.681 4.184
La 0.000 0.000 8.981
La 0.000 0.000 20.321
La 1.326 2.681 7.156
La -1.326 5.332 7.156
La 5.332 1.326 7.156
La 5.332 -1.326 4.184
La 0.000 0.000 13.700
La 0.000 0.000 2.359
Ge 0.000 0.000 17.010
Ge 0.000 0.000 5.670
```

Properties
Raw total energy: -6.494 eV per atom
Symmetry: No. 140

***

(2)
TmMgGa: relaxed, PBE.

```
9
Lattice="7.181 0.000 0.000 -3.591 6.219 0.000 0.000 0.000 4.398" Properties=species:S:1:pos:R:3 pbc="T T T"
Tm 4.100 0.000 2.199
Tm 1.541 2.668 2.199
Tm -2.050 3.551 2.199
Mg 1.748 0.000 0.000
Mg -0.874 1.513 0.000
Mg 2.717 4.706 0.000
Ga 0.000 4.146 0.000
Ga 3.591 2.073 0.000
Ga 0.000 0.000 2.199
```

Properties
Raw total energy: -3.492 eV per atom
Offset from the most stable computed form: 0.0 meV per atom
Symmetry: No. 189

***

(3)
LuGaNi: relaxed, PBE.

```
12
Lattice="6.599 0.000 0.000 0.000 4.171 0.000 0.000 0.000 7.459" Properties=species:S:1:pos:R:3 pbc="T T T"
Lu 3.472 3.128 6.078
Lu 6.426 1.043 2.349
Lu 0.173 3.128 5.110
Lu 3.127 1.043 1.380
Ni 1.512 1.043 6.575
Ni 5.087 3.128 0.884
Ni 4.812 1.043 4.613
Ni 1.787 3.128 2.845
Ga 5.573 1.043 6.987
Ga 2.273 1.043 4.201
Ga 4.326 3.128 3.258
Ga 1.026 3.128 0.471
```

Properties
Raw total energy: -5.044 eV per atom
Symmetry: No. 62

***

(4)
PrHo2Mg3InGa2: relaxed, PBE.

```
9
Lattice="-4.430 -1.164 0.231 1.384 -6.067 -4.033 0.436 -0.193 7.400" Properties=species:S:1:pos:R:3 pbc="T T T"
Ho 1.038 -2.836 5.630
Ho 1.571 -6.140 -0.802
In 0.014 -0.047 0.025
Mg -1.763 -2.137 0.952
Mg -1.886 -0.732 5.671
Mg -1.175 -5.140 -2.908
Pr 1.021 -3.512 1.889
Ga -1.470 -2.700 3.746
Ga -1.146 -4.706 -0.158
```

Properties
Raw total energy: -3.498 eV per atom
Symmetry: No. 38

***

Copy entry 1 word for word.
La6Co13Ge: relaxed, PBE.

```
40
Lattice="-4.006 4.006 11.340 4.006 -4.006 11.340 4.006 4.006 -11.340" Properties=species:S:1:pos:R:3 pbc="T T T"
Co 2.587 1.419 1.300
Co 1.419 2.587 12.640
Co -0.908 3.098 9.289
Co 1.708 0.522 11.340
Co 3.485 2.299 11.340
Co 1.419 2.587 10.041
Co 2.587 1.419 -1.300
Co -0.908 3.098 13.391
Co 2.299 3.485 0.000
Co 4.006 0.000 0.000
Co 3.098 0.908 9.289
Co -2.299 3.485 11.340
Co 0.908 3.098 2.051
Co 4.915 0.908 2.051
Co 6.305 0.522 0.000
Co 0.000 4.006 0.000
Co 1.419 5.426 -1.300
Co 1.419 5.426 1.300
Co 0.522 1.708 0.000
Co 4.915 0.908 -2.051
Co 0.908 3.098 -2.051
Co 3.098 0.908 13.391
Co 2.587 -1.419 12.640
Co 4.528 2.299 0.000
Co 2.587 -1.419 10.041
Co -0.522 1.708 11.340
La 1.326 5.332 4.184
La 2.681 -1.326 7.156
La 2.681 1.326 4.184
La -1.326 2.681 4.184
La 0.000 0.000 8.981
La 0.000 0.000 20.321
La 1.326 2.681 7.156
La -1.326 5.332 7.156
La 5.332 1.326 7.156
La 5.332 -1.326 4.184
La 0.000 0.000 13.700
La 0.000 0.000 2.359
Ge 0.000 0.000 17.010
Ge 0.000 0.000 5.670
```

Properties
Raw total energy: -6.494 eV per atom
Symmetry: No. 140

***

> Which value of raw total energy does entry 2 give?

-3.492 eV per atom

***

> Look up the raw total energy of the third one.

-5.044 eV per atom